The following is a meta-GGA SCAN calculation of a PBEsol-optimized structure of CaB3H3O7, from Alexandria via LeMat-Bulk.

POSCAR file:
```
CaB3H3O7
1.0
-1.660 -7.029 -0.103
5.633 -1.247 -5.708
5.841 -0.204 5.809
O H B Ca
28 12 12 4
Direct
0.505 0.547 0.804
0.831 0.955 0.255
0.169 0.455 0.245
0.202 0.456 0.540
0.798 0.956 0.960
0.922 0.720 0.115
0.335 0.709 0.236
0.405 0.277 0.401
0.245 0.949 0.488
0.755 0.449 0.012
0.202 0.044 0.040
0.798 0.544 0.460
0.335 0.791 0.736
0.595 0.777 0.099
0.665 0.291 0.764
0.595 0.723 0.599
0.078 0.280 0.885
0.665 0.209 0.264
0.495 0.453 0.196
0.922 0.780 0.615
0.495 0.047 0.696
0.405 0.223 0.901
0.505 0.953 0.304
0.169 0.045 0.745
0.078 0.220 0.385
0.831 0.545 0.755
0.245 0.551 0.988
0.755 0.051 0.512
0.860 0.889 0.575
0.686 0.954 0.876
0.140 0.111 0.425
0.314 0.046 0.124
0.686 0.546 0.376
0.140 0.389 0.925
0.314 0.454 0.624
0.644 0.044 0.574
0.860 0.611 0.075
0.644 0.456 0.074
0.356 0.956 0.426
0.356 0.544 0.926
0.221 0.148 0.891
0.690 0.461 0.834
0.779 0.852 0.109
0.482 0.810 0.212
0.310 0.539 0.166
0.482 0.690 0.712
0.518 0.190 0.788
0.518 0.310 0.288
0.310 0.961 0.666
0.779 0.648 0.609
0.690 0.039 0.334
0.221 0.352 0.391
0.074 0.707 0.387
0.926 0.207 0.113
0.926 0.293 0.613
0.074 0.793 0.887
```

Properties
final energy	-8.46	eV per atom
crystal system	monoclinic